A relaxed structure of FeIr3. Source: the Alexandria database, functional PBE.

Properties
- Formation enthalpy at 0 K: 2142 meV per atom

a b c (Å): 4.453 4.453 4.453
angles (deg): 90.00 90.00 90.00
Space group Pm-3m (No. 221)
Asymmetric unit:
Fe: 0.000 0.000 0.000
Ir: 0.000 0.000 0.500


A relaxed structure of FeIr. Source: the Alexandria database, functional PBE.

Properties
- Formation enthalpy at 0 K: -31 meV per atom

a b c (Å): 4.611 4.235 5.274
angles (deg): 90.00 90.00 90.00
Space group Pnma (No. 62)
Asymmetric unit:
Fe: 0.082 0.250 0.124
Ir: 0.092 0.250 0.627


A relaxed structure of FeIr. Source: the Alexandria database, functional PBE.

Properties
- Formation enthalpy at 0 K: 249 meV per atom

a b c (Å): 4.0101 4.0101 7.8366
angles (deg): 90.00 90.00 120.00
Space group P6_3/mmc (No. 194)
Asymmetric unit:
Fe: 0.0000 0.0000 0.2500
Fe: 0.3333 0.6667 0.2500
Ir: 0.3333 0.6667 0.5845


A relaxed structure of FeIr3. Source: the Alexandria database, functional PBE.

Properties
- Formation enthalpy at 0 K: -33 meV per atom

a b c (Å): 8.932 2.727 4.672
angles (deg): 90.00 100.61 90.00
Space group C2/m (No. 12)
Asymmetric unit:
Fe: 0.000 0.000 0.000
Ir: 0.000 0.500 0.500
Ir: 0.248 0.500 0.246


A relaxed structure of FeIr. Source: the Alexandria database, functional PBE.

Properties
- Formation enthalpy at 0 K: 654 meV per atom

a b c (Å): 4.914 4.914 4.983
angles (deg): 90.00 90.00 90.00
Space group P4_2/mnm (No. 136)
Asymmetric unit:
Fe: 0.197 0.197 0.000
Ir: 0.199 0.199 0.500


A relaxed structure of FeIr. Source: the Alexandria database, functional PBE.

Properties
- Formation enthalpy at 0 K: 1289 meV per atom

a b c (Å): 6.434 6.434 6.434
angles (deg): 90.00 90.00 90.00
Space group Pm-3n (No. 223)
Asymmetric unit:
Fe: 0.000 0.250 0.500
Ir: 0.000 0.500 0.250